1.
! AlFeOs2 PBE-GGA relaxed; values from VASP
! Formation energy: 0.5 eV per formula unit
! Symmetry: No. 65
&SYSTEM
  ibrav = 0, nat = 8, ntyp = 3
/
ATOMIC_SPECIES
Al 26.98 Al.upf
Fe 55.84 Fe.upf
Os 190.23 Os.upf
CELL_PARAMETERS angstrom
2.895 0.000 0.000
0.000 4.581 0.000
0.000 0.000 8.442
ATOMIC_POSITIONS crystal
Al 0.000 0.000 0.000
Al 0.500 0.500 0.000
Fe 0.000 0.000 0.500
Fe 0.500 0.500 0.500
Os 0.000 0.500 0.249
Os 0.000 0.500 0.751
Os 0.500 0.000 0.249
Os 0.500 0.000 0.751



2.
! CsScNO2 PBE-GGA relaxed; values from VASP
! Symmetry: No. 123
! Energy relative to the elements, uncorrected: 4.25 eV per formula unit
&SYSTEM
  ibrav = 0, nat = 5, ntyp = 4
/
ATOMIC_SPECIES
Cs 132.91 Cs.upf
Sc 44.96 Sc.upf
N 14.01 N.upf
O 16.00 O.upf
CELL_PARAMETERS angstrom
4.355 0.000 0.000
0.000 4.355 0.000
0.000 0.000 4.708
ATOMIC_POSITIONS crystal
Cs 0.000 0.000 0.000
Sc 0.500 0.500 0.500
N 0.000 0.000 0.500
O 0.000 0.500 0.000
O 0.500 0.000 0.000



3.
! BaTbZnCd PBE-GGA relaxed; values from VASP
! Formation energy: -0.5 eV per formula unit
! Symmetry: No. 216
&SYSTEM
  ibrav = 0, nat = 16, ntyp = 4
/
ATOMIC_SPECIES
Ba 137.33 Ba.upf
Tb 158.93 Tb.upf
Zn 65.41 Zn.upf
Cd 112.41 Cd.upf
CELL_PARAMETERS angstrom
7.837 0.000 0.000
0.000 7.837 0.000
0.000 0.000 7.837
ATOMIC_POSITIONS crystal
Ba 0.000 0.000 0.000
Ba 0.000 0.500 0.500
Ba 0.500 0.000 0.500
Ba 0.500 0.500 0.000
Tb 0.000 0.000 0.500
Tb 0.000 0.500 0.000
Tb 0.500 0.000 0.000
Tb 0.500 0.500 0.500
Zn 0.250 0.250 0.250
Zn 0.250 0.750 0.750
Zn 0.750 0.250 0.750
Zn 0.750 0.750 0.250
Cd 0.250 0.250 0.750
Cd 0.250 0.750 0.250
Cd 0.750 0.250 0.250
Cd 0.750 0.750 0.750



4.
! BaCa2Cu3O5 PBE-GGA relaxed; values from VASP
! Symmetry: No. 123
! Energy relative to the elements, uncorrected: -17.54 eV per formula unit
&SYSTEM
  ibrav = 0, nat = 22, ntyp = 4
/
ATOMIC_SPECIES
Ba 137.33 Ba.upf
Ca 40.08 Ca.upf
Cu 63.55 Cu.upf
O 16.00 O.upf
CELL_PARAMETERS angstrom
3.942 0.000 0.000
0.000 3.942 0.000
0.000 0.000 20.709
ATOMIC_POSITIONS crystal
Ba 0.000 0.000 0.108
Ba 0.000 0.000 0.892
Ca 0.000 0.000 0.273
Ca 0.000 0.000 0.424
Ca 0.000 0.000 0.576
Ca 0.000 0.000 0.727
Cu 0.500 0.500 0.000
Cu 0.500 0.500 0.195
Cu 0.500 0.500 0.345
Cu 0.500 0.500 0.500
Cu 0.500 0.500 0.655
Cu 0.500 0.500 0.805
O 0.000 0.500 0.191
O 0.000 0.500 0.345
O 0.000 0.500 0.500
O 0.000 0.500 0.655
O 0.000 0.500 0.809
O 0.500 0.000 0.191
O 0.500 0.000 0.345
O 0.500 0.000 0.500
O 0.500 0.000 0.655
O 0.500 0.000 0.809



5.
! CaPmNdRu PBE-GGA relaxed; values from VASP
! Formation energy: 0.5 eV per formula unit
! Symmetry: No. 216
&SYSTEM
  ibrav = 0, nat = 16, ntyp = 4
/
ATOMIC_SPECIES
Ca 40.08 Ca.upf
Pm 145.00 Pm.upf
Nd 144.24 Nd.upf
Ru 101.07 Ru.upf
CELL_PARAMETERS angstrom
7.468 0.000 0.000
0.000 7.468 0.000
0.000 0.000 7.468
ATOMIC_POSITIONS crystal
Ca 0.000 0.000 0.000
Ca 0.000 0.500 0.500
Ca 0.500 0.000 0.500
Ca 0.500 0.500 0.000
Pm 0.250 0.250 0.250
Pm 0.250 0.750 0.750
Pm 0.750 0.250 0.750
Pm 0.750 0.750 0.250
Nd 0.250 0.250 0.750
Nd 0.250 0.750 0.250
Nd 0.750 0.250 0.250
Nd 0.750 0.750 0.750
Ru 0.000 0.000 0.500
Ru 0.000 0.500 0.000
Ru 0.500 0.000 0.000
Ru 0.500 0.500 0.500



6.
! CuSi4As PBE-GGA relaxed; values from VASP
! Symmetry: No. 216
! Energy relative to the elements, uncorrected: 3.64 eV per formula unit
&SYSTEM
  ibrav = 0, nat = 6, ntyp = 3
/
ATOMIC_SPECIES
Cu 63.55 Cu.upf
Si 28.09 Si.upf
As 74.92 As.upf
CELL_PARAMETERS angstrom
0.000 3.610 3.610
3.610 0.000 3.610
3.610 3.610 0.000
ATOMIC_POSITIONS crystal
Cu 0.000 0.000 0.000
Si 0.123 0.626 0.626
Si 0.626 0.123 0.626
Si 0.626 0.626 0.123
Si 0.626 0.626 0.626
As 0.250 0.250 0.250